VASP calculation (GGA+U) on an optimized crystal structure of KMo2IrO.

Calculated values
**Crystal system**: tetragonal
**D(E_F)**: 2.92 states/eV per cell
**E_tot**: -5.252 eV per atom

Cell lengths 4.4299, 4.4299, 4.7440 Å; angles 90.00, 90.00, 90.00 degrees
Closest atoms and distances in Å follow each position.
Space group P4/mmm (No. 123)
Inequivalent atoms, fractional coordinates:
K  0.0000  0.0000  0.0000 (multiplicity 1)  2 O 2.37
Mo  0.0000  0.5000  0.5000 (multiplicity 2)  2 O 2.21
Ir  0.5000  0.5000  0.0000 (multiplicity 1)  4 K 3.13, 8 Mo 3.25
O  0.0000  0.0000  0.5000 (multiplicity 1)  4 Mo 2.21, 2 K 2.37